A relaxed structure of KNb2H4. Source: Alexandria via LeMat-Bulk, functional PBE.

Properties
VASP energy = -27.68 eV per cell
crystal system = tetragonal

The structure in POSCAR format:
```
KNb2H4
1.0
-1.892 1.892 6.214
1.892 -1.892 6.214
1.892 1.892 -6.214
K Nb H
1 2 4
direct
0.000 0.000 0.000 K
0.310 0.310 0.000 Nb
0.690 0.690 0.000 Nb
0.000 0.500 0.500 H
0.169 0.169 0.000 H
0.500 0.000 0.500 H
0.831 0.831 0.000 H
```

A relaxed structure of KNb3H. Source: Alexandria via LeMat-Bulk, functional PBE.

Properties
VASP energy = -17.90 eV per cell
crystal system = cubic
energy above the most stable polymorph in this dataset = 220.3 kJ per mole of atoms

The structure in POSCAR format:
```
KNb3H
1.0
4.627 0.000 0.000
0.000 4.627 0.000
0.000 0.000 4.627
K Nb H
1 3 1
direct
0.000 0.000 0.000 K
0.000 0.000 0.500 Nb
0.000 0.500 0.000 Nb
0.500 0.000 0.000 Nb
0.500 0.500 0.500 H
```

- The lowest VASP energy belongs to which entry?
  KNb2H4